TbNd2Pt2 PBE optimized geometry; calculated formation energy = -4.81 eV/f.u.; total energy = -62.11 eV per cell; total moment = 0.00 μB per cell
1.0
7.8797 0.0000 0.0000
0.0000 7.8797 0.0000
0.0000 0.0000 4.1055
Tb Nd Pt
2 4 4
Direct
0.0000 0.0000 0.0000 Tb
0.5000 0.5000 0.0000 Tb
0.1636 0.3364 0.5000 Nd
0.3364 0.8364 0.5000 Nd
0.6636 0.1636 0.5000 Nd
0.8364 0.6636 0.5000 Nd
0.1372 0.6372 0.0000 Pt
0.3628 0.1372 0.0000 Pt
0.6372 0.8628 0.0000 Pt
0.8628 0.3628 0.0000 Pt

CuSiSe2 PBE optimized geometry; total energy = -16.78 eV per cell; uncorrected formation energy = -73.6 meV/atom; total moment = 0.00 μB per cell
1.0
3.5970 0.0000 0.0000
0.0000 3.5970 0.0000
0.0000 0.0000 5.9405
Cu Si Se
1 1 2
Direct
0.0000 0.0000 0.0000 Cu
0.5000 0.5000 0.5171 Si
0.0000 0.0000 0.4211 Se
0.5000 0.5000 0.9162 Se

YPdS PBE optimized geometry; total energy = -40.05 eV per cell; uncorrected formation energy = -1413.5 meV/atom; total moment = 0.00 μB per cell
1.0
3.7290 0.0000 0.0000
0.0000 3.7290 0.0000
0.0000 0.0000 8.5733
Y Pd S
2 2 2
Direct
0.2500 0.2500 0.2276 Y
0.7500 0.7500 0.7724 Y
0.2500 0.2500 0.5675 Pd
0.7500 0.7500 0.4325 Pd
0.2500 0.2500 0.8662 S
0.7500 0.7500 0.1338 S